Entry 1
Crystalline YSbOF2 at its relaxed geometry, computed with GGA-PBE.

Properties
Symmetry = P4/mmm
Density of states at the Fermi level = 0.241 states/eV per atom

a = 4.131 Å, b = 4.131 Å, c = 6.538 Å
α = 90.00°, β = 90.00°, γ = 90.00°
Sites, in units of the cell vectors:
Y 0.000 0.000 0.000
Sb 0.000 0.000 0.500
O 0.500 0.500 0.500
F 0.000 0.500 0.000
F 0.500 0.000 0.000

Entry 2
Crystalline YSbOF2 at its relaxed geometry, computed with GGA-PBE.

Properties
Symmetry = P4/mmm
Density of states at the Fermi level = 0.499 states/eV per atom

a = 4.390 Å, b = 4.390 Å, c = 4.592 Å
α = 90.00°, β = 90.00°, γ = 90.00°
Sites, in units of the cell vectors:
Y 0.000 0.000 0.000
Sb 0.500 0.500 0.500
O 0.000 0.000 0.500
F 0.000 0.500 0.000
F 0.500 0.000 0.000

Referenced to the most stable arrangement, the calculated values in kJ/mol of atoms are entry 1 29.1; entry 2 0.0.